(1)
Pm4Al2Ag | PBE | relaxed

Cell: 8.944 8.944 8.944 Å, 34.05 34.05 34.05°
Element x y z (fractional)
Pm  0.120  0.120  0.120
Pm  0.371  0.371  0.371
Pm  0.629  0.629  0.629
Pm  0.880  0.880  0.880
Al  0.248  0.248  0.248
Al  0.752  0.752  0.752
Ag  0.500  0.500  0.500

space group	No. 166
total magnetic moment	0.00	μB per formula unit
energy	-4.38	eV/atom

***

(2)
Pm3Al4Ag2 | PBE | relaxed

Cell: 5.979 5.979 8.798 Å, 111.78 111.78 45.97°
Element x y z (fractional)
Pm  0.000  0.000  0.000
Pm  0.325  0.325  0.344
Pm  0.675  0.675  0.656
Al  0.026  0.026  0.364
Al  0.262  0.262  0.926
Al  0.738  0.738  0.074
Al  0.974  0.974  0.636
Ag  0.404  0.404  0.734
Ag  0.596  0.596  0.266

space group	No. 12
total magnetic moment	0.00	μB per formula unit
energy	-4.31	eV/atom

***

(3)
Pm3Al2Ag4 | PBE | relaxed

Cell: 5.963 5.963 8.949 Å, 113.45 113.45 46.58°
Element x y z (fractional)
Pm  0.000  0.000  0.000
Pm  0.348  0.348  0.320
Pm  0.652  0.652  0.680
Al  0.363  0.363  0.693
Al  0.637  0.637  0.307
Ag  0.085  0.085  0.410
Ag  0.286  0.286  0.939
Ag  0.714  0.714  0.061
Ag  0.915  0.915  0.590

space group	No. 12
total magnetic moment	0.00	μB per formula unit
energy	-4.01	eV/atom

***

(4)
Pm2Al3Ag2 | PBE | relaxed

Cell: 5.869 5.869 6.856 Å, 112.63 112.63 45.23°
Element x y z (fractional)
Pm  0.152  0.152  0.277
Pm  0.848  0.848  0.723
Al  0.403  0.403  0.071
Al  0.500  0.500  0.500
Al  0.597  0.597  0.929
Ag  0.145  0.145  0.750
Ag  0.855  0.855  0.250

space group	No. 12
total magnetic moment	0.00	μB per formula unit
energy	-4.15	eV/atom

***

(5)
PmAl2Ag10 | PBE | relaxed

Cell: 9.531 7.293 7.235 Å, 81.99 49.27 48.74°
Element x y z (fractional)
Pm  0.000  0.000  0.000
Al  0.000  0.000  0.500
Al  0.500  0.500  0.000
Ag  0.000  0.500  0.000
Ag  0.009  0.653  0.347
Ag  0.285  0.506  0.494
Ag  0.347  0.991  0.009
Ag  0.494  0.715  0.285
Ag  0.500  0.000  0.500
Ag  0.506  0.285  0.715
Ag  0.653  0.009  0.991
Ag  0.715  0.494  0.506
Ag  0.991  0.347  0.653

space group	No. 69
total magnetic moment	0.00	μB per formula unit
energy	-3.24	eV/atom

***

(6)
Pm4AlAg2 | PBE | relaxed

Cell: 8.893 8.893 8.893 Å, 34.15 34.15 34.15°
Element x y z (fractional)
Pm  0.118  0.118  0.118
Pm  0.372  0.372  0.372
Pm  0.628  0.628  0.628
Pm  0.882  0.882  0.882
Al  0.500  0.500  0.500
Ag  0.243  0.243  0.243
Ag  0.757  0.757  0.757

space group	No. 166
total magnetic moment	1.05	μB per formula unit
energy	-4.22	eV/atom

***

(7)
Pm3Al7Ag2 | PBE | relaxed

Cell: 9.453 9.453 9.453 Å, 34.74 34.74 34.74°
Element x y z (fractional)
Pm  0.000  0.000  0.000
Pm  0.142  0.142  0.142
Pm  0.858  0.858  0.858
Al  0.075  0.587  0.587
Al  0.413  0.413  0.925
Al  0.413  0.925  0.413
Al  0.500  0.500  0.500
Al  0.587  0.075  0.587
Al  0.587  0.587  0.075
Al  0.925  0.413  0.413
Ag  0.336  0.336  0.336
Ag  0.664  0.664  0.664

space group	No. 166
total magnetic moment	0.00	μB per formula unit
energy	-4.31	eV/atom

***

(8)
PmAlAg2 | PBE | relaxed

Cell: 4.526 4.526 4.322 Å, 90.00 90.00 90.00°
Element x y z (fractional)
Pm  0.000  0.000  0.000
Al  0.500  0.500  0.000
Ag  0.000  0.500  0.500
Ag  0.500  0.000  0.500

space group	No. 123
total magnetic moment	0.00	μB per formula unit
energy	-3.67	eV/atom

***

Which of these has the highest total magnetic moment?
Pm4AlAg2